This record from the Alexandria database describes a relaxed V2Bi8O17 crystal. The functional is GGA+U.

Calculated values
- Density of states at the Fermi level: 0.00 states/eV/atom
- Space-group type: P1, No. 1
- Energy above the lowest structure with this stoichiometry: 0 meV per atom

Lattice parameters (Å, degrees): 6.596 6.283 12.937 79.47 74.05 77.28
Element x y z (fractional)
V (0.878, 0.306, 0.495)
V (0.307, 0.295, 0.013)
Bi (0.597, 0.658, 0.341)
Bi (0.134, 0.699, 0.840)
Bi (0.774, 0.811, 0.594)
Bi (0.097, 0.754, 0.192)
Bi (0.399, 0.163, 0.403)
Bi (0.762, 0.311, 0.132)
Bi (0.766, 0.386, 0.824)
Bi (0.299, 0.245, 0.667)
O (0.848, 0.558, 0.936)
O (0.207, 0.571, 0.044)
O (0.835, 0.612, 0.451)
O (0.885, 0.514, 0.235)
O (0.577, 0.659, 0.737)
O (0.455, 0.456, 0.256)
O (0.045, 0.553, 0.718)
O (0.149, 0.344, 0.522)
O (0.606, 0.343, 0.447)
O (0.761, 0.201, 0.625)
O (0.137, 0.107, 0.081)
O (0.339, 0.323, 0.874)
O (0.465, 0.955, 0.555)
O (0.777, 0.970, 0.228)
O (0.062, 0.067, 0.770)
O (0.009, 0.094, 0.422)
O (0.561, 0.203, 0.033)